# 1
A relaxed AcHo2Tl2Cd2 crystal, computed with PBE.

Structure (CIF):
```
data_AcHo2Tl2Cd2
_chemical_formula_sum 'Ac3 Ho6 Tl6 Cd6'
_symmetry_space_group_name_H-M 'R -3 m'
_symmetry_Int_Tables_number 166
_symmetry_space_group_name_Hall '-R 3 2"'
_cell_length_a 5.0837
_cell_length_b 5.0837
_cell_length_c 27.3593
_cell_angle_alpha 90.00
_cell_angle_beta 90.00
_cell_angle_gamma 120.00
loop_
_atom_site_label
_atom_site_fract_x
_atom_site_fract_y
_atom_site_fract_z
Ac1 0.0000 0.0000 0.0000
Ho1 0.0000 0.0000 0.1366
Tl1 0.0000 0.0000 0.2622
Cd1 0.0000 0.0000 0.4393
```

## Properties
D(E_F) in states/eV per cell: 14.03
DFT formation energy in eV/atom: -0.2051

=====

# 2
A relaxed TiNb12In3 crystal, computed with PBE.

Structure (CIF):
```
data_TiNb12In3
_chemical_formula_sum 'Ti1 Nb12 In3'
_symmetry_space_group_name_H-M 'P m m m'
_symmetry_Int_Tables_number 47
_symmetry_space_group_name_Hall '-P 2 2'
_cell_length_a 5.311
_cell_length_b 5.333
_cell_length_c 10.597
_cell_angle_alpha 90.00
_cell_angle_beta 90.00
_cell_angle_gamma 90.00
loop_
_atom_site_label
_atom_site_fract_x
_atom_site_fract_y
_atom_site_fract_z
Ti1 0.000 0.000 0.000
Nb1 0.000 0.244 0.245
Nb2 0.242 0.500 0.000
Nb3 0.248 0.500 0.500
Nb4 0.500 0.000 0.122
Nb5 0.500 0.000 0.375
In1 0.000 0.000 0.500
In2 0.500 0.500 0.250
```

## Properties
D(E_F) in states/eV per cell: 22.94
DFT formation energy in eV/atom: -0.0176